# 1
Below is an optimized crystal structure of MgTe2Br, with properties calculated at the PBE level.

The structure in POSCAR format:
```
MgTe2Br
1.0
6.440 0.011 0.019
0.687 6.403 -0.019
-1.783 -5.185 3.377
Br Mg Te
1 1 2
Cartesian
3.088 2.780 0.000
1.283 2.257 1.679
0.149 0.134 0.000
4.386 -0.735 1.698
```

Properties
Magnetic moment, μB/f.u.: 0.0
Energy above the most stable polymorph in this dataset, eV/atom: 0.2844
Raw formation energy, eV per atom: -0.344


# 2
Below is an optimized crystal structure of TlTePb2, with properties calculated at the PBE level.

The structure in POSCAR format:
```
TlTePb2
1.0
-6.305 -0.912 -2.784
-0.718 -5.923 3.568
-6.558 0.362 6.054
Pb Tl Te
4 2 2
Cartesian
-5.711 -1.226 0.202
-2.835 -3.720 3.414
-7.547 -2.253 4.811
-11.068 -5.749 5.250
0.000 0.000 0.000
-8.187 -1.984 1.831
-3.511 -3.418 0.392
-5.394 -4.490 5.007
```

Properties
Magnetic moment, μB/f.u.: 0.0
Energy above the most stable polymorph in this dataset, eV/atom: 0.2319
Raw formation energy, eV per atom: 0.133


# 3
Below is an optimized crystal structure of Ca3Ag2BRh3, with properties calculated at the PBE level.

The structure in POSCAR format:
```
Ca3Ag2BRh3
1.0
-0.687 0.670 -3.184
6.461 -3.447 -2.121
-6.458 -4.013 0.550
Ca Ag B Rh
3 2 1 3
Cartesian
-2.359 -1.466 0.201
0.001 -4.735 -0.997
2.360 -1.259 -0.775
-2.496 -3.489 -1.933
1.811 -3.300 -2.823
0.000 0.000 0.000
4.760 -2.387 -3.267
-0.343 -1.232 -1.922
-5.445 -2.835 -1.158
```

Properties
Magnetic moment, μB/f.u.: 0.0
ΔE_f, eV per atom: -0.273


# 4
Below is an optimized crystal structure of Al3OsSe, with properties calculated at the PBE level.

The structure in POSCAR format:
```
Al3OsSe
1.0
4.646 0.000 0.000
0.000 4.646 0.000
0.000 0.000 4.646
Os Al Se
1 3 1
Cartesian
2.323 2.323 2.323
0.000 2.323 0.000
0.000 0.000 2.323
2.323 0.000 0.000
0.000 0.000 0.000
```

Properties
Magnetic moment, μB/f.u.: 1.0
Energy above the most stable polymorph in this dataset, eV/atom: 1.1265
Raw formation energy, eV per atom: 1.278


# 5
Below is an optimized crystal structure of SiPbW2, with properties calculated at the PBE level.

The structure in POSCAR format:
```
SiPbW2
1.0
-4.003 1.652 1.432
-0.318 -3.395 3.029
1.560 1.846 2.233
Pb Si W
1 1 2
Cartesian
-1.222 1.749 1.832
0.621 -0.775 2.631
0.000 0.000 0.000
-2.161 -0.872 2.230
```

Properties
Magnetic moment, μB/f.u.: 0.0
Energy above the most stable polymorph in this dataset, eV/atom: 0.5813
Raw formation energy, eV per atom: 0.929


# 6
Below is an optimized crystal structure of RbMg2InCl6, with properties calculated at the PBE level.

The structure in POSCAR format:
```
RbMg2InCl6
1.0
-7.186 -1.320 -1.432
-3.108 -1.871 9.111
-3.560 9.042 1.322
Rb Mg In Cl
2 4 2 12
Cartesian
-4.950 -1.119 7.981
-8.905 6.970 1.020
-6.521 3.833 7.771
-3.661 0.768 3.309
-7.333 2.017 1.230
-10.194 5.083 5.692
-5.223 5.479 3.271
-8.632 0.371 5.730
-7.120 4.937 9.749
-3.047 -0.712 1.599
-6.735 0.913 -0.748
-10.808 6.562 7.403
-6.758 1.533 7.909
-3.293 -0.094 5.428
-7.096 4.317 1.092
-10.561 5.945 3.573
-11.387 2.995 5.850
-6.022 1.258 3.104
-2.467 2.856 3.151
-7.833 4.593 5.897
```

Properties
Magnetic moment, μB/f.u.: 0.0
Raw formation energy, eV per atom: -1.640


# 7
Below is an optimized crystal structure of Ba4CaSe, with properties calculated at the PBE level.

The structure in POSCAR format:
```
Ba4CaSe
1.0
7.271 -1.679 1.197
2.689 -0.334 7.055
1.892 -6.669 3.011
Ba Ca Se
4 1 1
Cartesian
8.091 -4.094 4.818
5.387 -6.602 5.730
5.788 -3.418 7.763
4.437 -3.250 4.216
8.889 -6.512 8.447
0.000 0.000 0.000
```

Properties
Magnetic moment, μB/f.u.: 1.4
Raw formation energy, eV per atom: 0.140


# 8
Below is an optimized crystal structure of Tb2Sm8Th, with properties calculated at the PBE level.

The structure in POSCAR format:
```
Tb2Sm8Th
1.0
5.611 -0.656 -0.458
0.687 9.915 2.700
0.687 5.947 8.381
Tb Sm Th
2 8 1
Cartesian
4.565 3.992 2.789
2.420 11.213 7.833
2.041 4.748 5.325
2.041 6.634 2.626
4.944 10.458 5.297
2.056 8.520 5.951
4.944 8.572 7.996
1.511 2.779 1.941
5.474 12.427 8.680
4.929 6.686 4.670
0.000 0.000 0.000
```

Properties
Magnetic moment, μB/f.u.: 0.0
Energy above the most stable polymorph in this dataset, eV/atom: 0.1643
ΔE_f, eV per atom: 0.193


Number 1: E -2.731 eV per atom. Number 2: E -3.098 eV per atom. Number 3: E -4.766 eV per atom. Number 4: E -3.910 eV per atom. Number 5: E -7.830 eV per atom. Number 6: E -3.438 eV per atom. Number 7: E -2.056 eV per atom. Number 8: E -4.755 eV per atom.